(1)
VASP calculation (GGA-PBEsol) on a relaxed ReTc crystal.

Geometry as POSCAR:
```
ReTc
1.0
6.135 0.000 0.000
0.000 6.135 0.000
0.000 0.000 6.135
Re Tc
8 8
Direct
0.125 0.125 0.125
0.125 0.625 0.625
0.375 0.375 0.875
0.375 0.875 0.375
0.625 0.125 0.625
0.625 0.625 0.125
0.875 0.375 0.375
0.875 0.875 0.875
0.125 0.125 0.625
0.125 0.625 0.125
0.375 0.375 0.375
0.375 0.875 0.875
0.625 0.125 0.125
0.625 0.625 0.625
0.875 0.375 0.875
0.875 0.875 0.375
```

Calculated values
The calculation puts the energy above the most stable polymorph in this dataset at 0.57 eV/f.u. The value obtained for the energy of formation is 0.55 eV/f.u. The volume comes out at 231.0 Å³/cell. The space-group type is Fd-3m.

(2)
VASP calculation (GGA-PBEsol) on a relaxed SrZrHg crystal.

Geometry as POSCAR:
```
SrZrHg
1.0
3.540 0.000 0.000
0.000 3.540 0.000
0.000 0.000 13.151
Sr Zr Hg
2 2 2
Direct
0.000 0.000 0.000
0.500 0.500 0.500
0.000 0.000 0.705
0.500 0.500 0.205
0.000 0.000 0.321
0.500 0.500 0.821
```

Calculated values
The value obtained for the energy of formation is 0.02 eV/f.u. The volume comes out at 164.8 Å³/cell. The space-group type is I4mm.